# 1
# MnCoH2 (GGA-PBE, relaxed)
# **Energy above the lowest structure with this stoichiometry**: 180 meV per atom
# **Symmetry**: I-42d
data_MnCoH2
_chemical_formula_sum 'Mn2 Co2 H4'
_cell_length_a 4.655
_cell_length_b 4.655
_cell_length_c 4.655
_cell_angle_alpha 131.99
_cell_angle_beta 131.99
_cell_angle_gamma 70.25
_space_group_name_H-M_alt 'P 1'
_space_group_IT_number 1
_space_group_name_Hall 'P 1'
loop_
_atom_site_label
_atom_site_type_symbol
_atom_site_fract_x
_atom_site_fract_y
_atom_site_fract_z
_atom_site_occupancy
Mn1 Mn 0.000 0.000 0.000 1
Mn2 Mn 0.750 0.250 0.500 1
Co1 Co 0.250 0.750 0.500 1
Co2 Co 0.500 0.500 0.000 1
H1 H 0.139 0.625 0.014 1
H2 H 0.375 0.389 0.514 1
H3 H 0.611 0.125 0.986 1
H4 H 0.875 0.861 0.486 1

***

# 2
# Cs3CaRe (GGA-PBE, relaxed)
# **Calculated formation energy**: 1.532 eV per atom
# **Symmetry**: Pm-3m
data_Cs3CaRe
_chemical_formula_sum 'Cs3 Ca1 Re1'
_cell_length_a 6.454
_cell_length_b 6.454
_cell_length_c 6.454
_cell_angle_alpha 90.00
_cell_angle_beta 90.00
_cell_angle_gamma 90.00
_space_group_name_H-M_alt 'P 1'
_space_group_IT_number 1
_space_group_name_Hall 'P 1'
loop_
_atom_site_label
_atom_site_type_symbol
_atom_site_fract_x
_atom_site_fract_y
_atom_site_fract_z
_atom_site_occupancy
Cs1 Cs 0.000 0.000 0.500 1
Cs2 Cs 0.000 0.500 0.000 1
Cs3 Cs 0.500 0.000 0.000 1
Ca1 Ca 0.500 0.500 0.500 1
Re1 Re 0.000 0.000 0.000 1

***

# 3
# PaBeFeCo (GGA-PBE, relaxed)
# **Calculated formation energy**: -0.014 eV per atom
# **Symmetry**: F-43m
data_PaBeFeCo
_chemical_formula_sum 'Pa1 Be1 Fe1 Co1'
_cell_length_a 4.305
_cell_length_b 4.305
_cell_length_c 4.305
_cell_angle_alpha 60.00
_cell_angle_beta 60.00
_cell_angle_gamma 60.00
_space_group_name_H-M_alt 'P 1'
_space_group_IT_number 1
_space_group_name_Hall 'P 1'
loop_
_atom_site_label
_atom_site_type_symbol
_atom_site_fract_x
_atom_site_fract_y
_atom_site_fract_z
_atom_site_occupancy
Pa1 Pa 0.000 0.000 0.000 1
Be1 Be 0.500 0.500 0.500 1
Fe1 Fe 0.750 0.750 0.750 1
Co1 Co 0.250 0.250 0.250 1

***

# 4
# Ce2GaCo (GGA-PBE, relaxed)
# **Calculated formation energy**: -0.285 eV per atom
# **Symmetry**: P4/mmm
data_Ce2GaCo
_chemical_formula_sum 'Ce2 Ga1 Co1'
_cell_length_a 3.557
_cell_length_b 3.557
_cell_length_c 6.623
_cell_angle_alpha 90.00
_cell_angle_beta 90.00
_cell_angle_gamma 90.00
_space_group_name_H-M_alt 'P 1'
_space_group_IT_number 1
_space_group_name_Hall 'P 1'
loop_
_atom_site_label
_atom_site_type_symbol
_atom_site_fract_x
_atom_site_fract_y
_atom_site_fract_z
_atom_site_occupancy
Ce1 Ce 0.000 0.000 0.213 1
Ce2 Ce 0.000 0.000 0.787 1
Ga1 Ga 0.500 0.500 0.500 1
Co1 Co 0.500 0.500 0.000 1

***

# 5
# ZrIrPb3 (GGA-PBE, relaxed)
# **Energy above the lowest structure with this stoichiometry**: 0 meV per atom
# **Calculated formation energy**: 0.738 eV per atom
# **Symmetry**: Pm-3m
data_ZrIrPb3
_chemical_formula_sum 'Zr1 Ir1 Pb3'
_cell_length_a 5.282
_cell_length_b 5.282
_cell_length_c 5.282
_cell_angle_alpha 90.00
_cell_angle_beta 90.00
_cell_angle_gamma 90.00
_space_group_name_H-M_alt 'P 1'
_space_group_IT_number 1
_space_group_name_Hall 'P 1'
loop_
_atom_site_label
_atom_site_type_symbol
_atom_site_fract_x
_atom_site_fract_y
_atom_site_fract_z
_atom_site_occupancy
Zr1 Zr 0.000 0.000 0.000 1
Ir1 Ir 0.500 0.500 0.500 1
Pb1 Pb 0.000 0.500 0.500 1
Pb2 Pb 0.500 0.000 0.500 1
Pb3 Pb 0.500 0.500 0.000 1

***

# 6
# Ac3Ga3Hg (GGA-PBE, relaxed)
# **Calculated formation energy**: -0.509 eV per atom
# **Symmetry**: C2/m
data_Ac3Ga3Hg
_chemical_formula_sum 'Ac6 Ga6 Hg2'
_cell_length_a 6.334
_cell_length_b 6.334
_cell_length_c 15.603
_cell_angle_alpha 109.52
_cell_angle_beta 109.52
_cell_angle_gamma 44.97
_space_group_name_H-M_alt 'P 1'
_space_group_IT_number 1
_space_group_name_Hall 'P 1'
loop_
_atom_site_label
_atom_site_type_symbol
_atom_site_fract_x
_atom_site_fract_y
_atom_site_fract_z
_atom_site_occupancy
Ac1 Ac 0.050 0.050 0.382 1
Ac2 Ac 0.105 0.105 0.923 1
Ac3 Ac 0.249 0.249 0.220 1
Ac4 Ac 0.751 0.751 0.780 1
Ac5 Ac 0.895 0.895 0.077 1
Ac6 Ac 0.950 0.950 0.618 1
Ga1 Ga 0.376 0.376 0.461 1
Ga2 Ga 0.398 0.398 0.926 1
Ga3 Ga 0.460 0.460 0.775 1
Ga4 Ga 0.540 0.540 0.225 1
Ga5 Ga 0.602 0.602 0.074 1
Ga6 Ga 0.624 0.624 0.539 1
Hg1 Hg 0.244 0.244 0.613 1
Hg2 Hg 0.756 0.756 0.387 1

***

# 7
# Ba2ZnGa3Au4 (GGA-PBE, relaxed)
# **Calculated formation energy**: -0.557 eV per atom
# **Symmetry**: P-4m2
data_Ba2ZnGa3Au4
_chemical_formula_sum 'Ba2 Zn1 Ga3 Au4'
_cell_length_a 4.756
_cell_length_b 4.756
_cell_length_c 10.443
_cell_angle_alpha 90.00
_cell_angle_beta 90.00
_cell_angle_gamma 90.00
_space_group_name_H-M_alt 'P 1'
_space_group_IT_number 1
_space_group_name_Hall 'P 1'
loop_
_atom_site_label
_atom_site_type_symbol
_atom_site_fract_x
_atom_site_fract_y
_atom_site_fract_z
_atom_site_occupancy
Ba1 Ba 0.000 0.500 0.248 1
Ba2 Ba 0.500 0.000 0.752 1
Zn1 Zn 0.500 0.500 0.000 1
Ga1 Ga 0.000 0.000 0.000 1
Ga2 Ga 0.000 0.500 0.620 1
Ga3 Ga 0.500 0.000 0.380 1
Au1 Au 0.000 0.000 0.500 1
Au2 Au 0.000 0.500 0.877 1
Au3 Au 0.500 0.000 0.123 1
Au4 Au 0.500 0.500 0.500 1

***

# 8
# BiSb2HPt (GGA-PBE, relaxed)
# **Symmetry**: P4/mmm
# **DFT total energy**: -21.646 eV/cell
data_BiSb2HPt
_chemical_formula_sum 'Bi1 Sb2 H1 Pt1'
_cell_length_a 5.498
_cell_length_b 5.498
_cell_length_c 3.565
_cell_angle_alpha 90.00
_cell_angle_beta 90.00
_cell_angle_gamma 90.00
_space_group_name_H-M_alt 'P 1'
_space_group_IT_number 1
_space_group_name_Hall 'P 1'
loop_
_atom_site_label
_atom_site_type_symbol
_atom_site_fract_x
_atom_site_fract_y
_atom_site_fract_z
_atom_site_occupancy
Bi1 Bi 0.000 0.000 0.000 1
Sb1 Sb 0.000 0.500 0.500 1
Sb2 Sb 0.500 0.000 0.500 1
H1 H 0.500 0.500 0.000 1
Pt1 Pt 0.500 0.500 0.500 1

***

# 9
# HgBAs2Se (GGA-PBE, relaxed)
# **Energy above the lowest structure with this stoichiometry**: 0 meV per atom
# **Formation energy without anion corrections**: 0.748 eV/atom
# **Symmetry**: P4/mmm
data_HgBAs2Se
_chemical_formula_sum 'Hg1 B1 As2 Se1'
_cell_length_a 4.564
_cell_length_b 4.564
_cell_length_c 4.520
_cell_angle_alpha 90.00
_cell_angle_beta 90.00
_cell_angle_gamma 90.00
_space_group_name_H-M_alt 'P 1'
_space_group_IT_number 1
_space_group_name_Hall 'P 1'
loop_
_atom_site_label
_atom_site_type_symbol
_atom_site_fract_x
_atom_site_fract_y
_atom_site_fract_z
_atom_site_occupancy
Hg1 Hg 0.000 0.000 0.000 1
B1 B 0.500 0.500 0.500 1
As1 As 0.000 0.500 0.500 1
As2 As 0.500 0.000 0.500 1
Se1 Se 0.500 0.500 0.000 1

***

# 10
# Tl7In5Hg4 (GGA-PBE, relaxed)
# **Calculated formation energy**: 0.026 eV per atom
# **Symmetry**: I-42m
data_Tl7In5Hg4
_chemical_formula_sum 'Tl7 In5 Hg4'
_cell_length_a 10.085
_cell_length_b 10.085
_cell_length_c 10.085
_cell_angle_alpha 137.85
_cell_angle_beta 137.85
_cell_angle_gamma 61.14
_space_group_name_H-M_alt 'P 1'
_space_group_IT_number 1
_space_group_name_Hall 'P 1'
loop_
_atom_site_label
_atom_site_type_symbol
_atom_site_fract_x
_atom_site_fract_y
_atom_site_fract_z
_atom_site_occupancy
Tl1 Tl 0.000 0.000 0.000 1
Tl2 Tl 0.000 0.500 0.500 1
Tl3 Tl 0.139 0.602 0.000 1
Tl4 Tl 0.398 0.398 0.537 1
Tl5 Tl 0.500 0.000 0.500 1
Tl6 Tl 0.602 0.139 0.000 1
Tl7 Tl 0.861 0.861 0.463 1
In1 In 0.236 0.236 0.000 1
In2 In 0.250 0.750 0.500 1
In3 In 0.500 0.500 0.000 1
In4 In 0.750 0.250 0.500 1
In5 In 0.764 0.764 0.000 1
Hg1 Hg 0.121 0.121 0.508 1
Hg2 Hg 0.387 0.879 0.000 1
Hg3 Hg 0.613 0.613 0.492 1
Hg4 Hg 0.879 0.387 0.000 1

***

# 11
# ZrScN3 (GGA-PBE, relaxed)
# **Formation energy without anion corrections**: -0.059 eV/atom
# **Symmetry**: Pm-3m
data_ZrScN3
_chemical_formula_sum 'Zr1 Sc1 N3'
_cell_length_a 4.123
_cell_length_b 4.123
_cell_length_c 4.123
_cell_angle_alpha 90.00
_cell_angle_beta 90.00
_cell_angle_gamma 90.00
_space_group_name_H-M_alt 'P 1'
_space_group_IT_number 1
_space_group_name_Hall 'P 1'
loop_
_atom_site_label
_atom_site_type_symbol
_atom_site_fract_x
_atom_site_fract_y
_atom_site_fract_z
_atom_site_occupancy
Zr1 Zr 0.000 0.000 0.000 1
Sc1 Sc 0.500 0.500 0.500 1
N1 N 0.000 0.000 0.500 1
N2 N 0.000 0.500 0.000 1
N3 N 0.500 0.000 0.000 1

***

# 12
# ZrGa3Au (GGA-PBE, relaxed)
# **Energy above the lowest structure with this stoichiometry**: 715 meV per atom
# **Calculated formation energy**: 0.439 eV per atom
# **Symmetry**: Pm-3m
data_ZrGa3Au
_chemical_formula_sum 'Zr1 Ga3 Au1'
_cell_length_a 4.874
_cell_length_b 4.874
_cell_length_c 4.874
_cell_angle_alpha 90.00
_cell_angle_beta 90.00
_cell_angle_gamma 90.00
_space_group_name_H-M_alt 'P 1'
_space_group_IT_number 1
_space_group_name_Hall 'P 1'
loop_
_atom_site_label
_atom_site_type_symbol
_atom_site_fract_x
_atom_site_fract_y
_atom_site_fract_z
_atom_site_occupancy
Zr1 Zr 0.000 0.000 0.000 1
Ga1 Ga 0.000 0.500 0.500 1
Ga2 Ga 0.500 0.000 0.500 1
Ga3 Ga 0.500 0.500 0.000 1
Au1 Au 0.500 0.500 0.500 1

***

Number 5 is which compound?
ZrIrPb3